one:
Below is crystalline Mn2Si2P at its relaxed geometry, with properties calculated at the PBE-GGA level.

Cell: 6.1170 6.1170 3.3129 Å, 90.00 90.00 90.00°
Site moments in Bohr magnetons follow the coordinates.
Positions (direct):
P (0.0000, 0.0000, 0.0000)  -0.06
P (0.5000, 0.5000, 0.0000)  -0.06
Si (0.1398, 0.6398, 0.5000)  -0.03
Si (0.6398, 0.8602, 0.5000)  -0.03
Si (0.8602, 0.3602, 0.5000)  -0.03
Si (0.3602, 0.1398, 0.5000)  -0.03
Mn (0.3384, 0.8384, 0.0000)  0.93
Mn (0.8384, 0.6616, 0.0000)  0.90
Mn (0.6616, 0.1616, 0.0000)  0.93
Mn (0.1616, 0.3384, 0.0000)  0.90

Output
symmetry = P4/mbm, No. 127


two:
Below is crystalline Mn2Si2P at its relaxed geometry, with properties calculated at the PBE-GGA level.

Cell: 5.7010 5.7010 5.7010 Å, 140.58 140.58 56.97°
Site moments in Bohr magnetons follow the coordinates.
Positions (direct):
Mn (0.2500, 0.7500, 0.5000)  2.41
Mn (0.7500, 0.2500, 0.5000)  2.41
Si (0.3880, 0.3880, 0.0000)  -0.09
Si (0.6120, 0.6120, 0.0000)  -0.09
P (0.0000, 0.0000, 0.0000)  0.08

Output
symmetry = I4/mmm, No. 139


Short version: two is the least stable of them.


one:
Below is crystalline MnSi3P at its relaxed geometry, with properties calculated at the PBE-GGA level.

Cell: 4.4131 4.4131 4.4131 Å, 90.00 90.00 90.00°
Site moments in Bohr magnetons follow the coordinates.
Positions (direct):
P (0.5000, 0.5000, 0.5000)  0.34
Si (0.0000, 0.5000, 0.0000)  -0.01
Si (0.0000, 0.0000, 0.5000)  -0.02
Si (0.5000, 0.0000, 0.0000)  -0.03
Mn (0.0000, 0.0000, 0.0000)  1.13

Output
symmetry = Pm-3m, No. 221


two:
Below is crystalline MnSi3P at its relaxed geometry, with properties calculated at the PBE-GGA level.

Cell: 4.4293 4.4293 4.4293 Å, 90.00 90.00 90.00°
Site moments in Bohr magnetons follow the coordinates.
Positions (direct):
P (0.0000, 0.0000, 0.0000)  -0.03
Si (0.0000, 0.5000, 0.0000)  -0.04
Si (0.0000, 0.0000, 0.5000)  0.01
Si (0.5000, 0.0000, 0.0000)  -0.03
Mn (0.5000, 0.5000, 0.5000)  0.54

Output
symmetry = Pm-3m, No. 221


Short version: two is the least stable of them.


one:
Below is crystalline MnSn3P at its relaxed geometry, with properties calculated at the PBE-GGA level.

Cell: 5.2211 5.2211 5.2211 Å, 90.00 90.00 90.00°
Site moments in Bohr magnetons follow the coordinates.
Positions (direct):
P (0.0000, 0.0000, 0.0000)  0.03
Mn (0.5000, 0.5000, 0.5000)  -0.21
Sn (0.0000, 0.5000, 0.0000)  0.03
Sn (0.0000, 0.0000, 0.5000)  -0.01
Sn (0.5000, 0.0000, 0.0000)  0.06

Output
symmetry = Pm-3m, No. 221


two:
Below is crystalline MnSn3P at its relaxed geometry, with properties calculated at the PBE-GGA level.

Cell: 5.0386 5.0386 5.0386 Å, 90.00 90.00 90.00°
Site moments in Bohr magnetons follow the coordinates.
Positions (direct):
P (0.5000, 0.5000, 0.5000)  0.34
Mn (0.0000, 0.0000, 0.0000)  1.61
Sn (0.0000, 0.5000, 0.0000)  -0.07
Sn (0.0000, 0.0000, 0.5000)  -0.07
Sn (0.5000, 0.0000, 0.0000)  -0.12

Output
symmetry = Pm-3m, No. 221


Short version: one is the least stable of them.


one:
Below is crystalline SrMnP2 at its relaxed geometry, with properties calculated at the PBE-GGA level.

Cell: 3.8264 3.8264 6.5900 Å, 73.15 73.15 60.00°
Site moments in Bohr magnetons follow the coordinates.
Positions (direct):
Mn (0.2500, 0.2500, 0.2500)  2.91
P (0.9741, 0.9741, 0.0782)  -0.09
P (0.5259, 0.5259, 0.4218)  -0.09
Sr (0.7500, 0.7500, 0.7500)  -0.02

Output
symmetry = R-3m, No. 166


two:
Below is crystalline SrMnP2 at its relaxed geometry, with properties calculated at the PBE-GGA level.

Cell: 3.8705 3.8705 6.1527 Å, 89.99 89.99 60.01°
Site moments in Bohr magnetons follow the coordinates.
Positions (direct):
Mn (0.2084, 0.2084, 0.0000)  2.98
P (0.8750, 0.8750, 0.1780)  -0.05
P (0.8750, 0.8750, 0.8220)  -0.05
Sr (0.5416, 0.5416, 0.5000)  -0.06

Output
symmetry = P-6m2, No. 187


three:
Below is crystalline SrMnP2 at its relaxed geometry, with properties calculated at the PBE-GGA level.

Cell: 3.6160 3.6160 6.9195 Å, 90.00 90.00 90.00°
Site moments in Bohr magnetons follow the coordinates.
Positions (direct):
Mn (0.5000, 0.5000, 0.9239)  3.25
P (0.0000, 0.0000, 0.8877)  -0.14
P (0.5000, 0.5000, 0.2430)  -0.19
Sr (0.0000, 0.0000, 0.4454)  0.00

Output
symmetry = P4mm, No. 99


four:
Below is crystalline SrMnP2 at its relaxed geometry, with properties calculated at the PBE-GGA level.

Cell: 4.6089 4.6089 4.6089 Å, 60.00 60.00 60.00°
Positions (direct):
Sr (0.5000, 0.5000, 0.5000)
Mn (0.0000, 0.0000, 0.0000)
P (0.2500, 0.2500, 0.2500)
P (0.7500, 0.7500, 0.7500)

Output
symmetry = Fm-3m, No. 225


Short version: four is the least stable of them.


one:
Below is crystalline SrMnP2 at its relaxed geometry, with properties calculated at the PBE-GGA level.

Cell: 7.2935 4.6980 3.7311 Å, 90.23 58.89 124.83°
Site moments in Bohr magnetons follow the coordinates.
Positions (direct):
Mn (0.5000, 0.5000, 0.0000)  4.13
P (0.0000, 0.0000, 0.0000)  -0.06
P (0.5000, 0.0000, 0.5000)  -0.06
Sr (0.0000, 0.5000, 0.5000)  0.03

Output
symmetry = C2/m, No. 12


two:
Below is crystalline SrMnP2 at its relaxed geometry, with properties calculated at the PBE-GGA level.

Cell: 7.2094 7.2094 7.2094 Å, 153.99 151.70 38.81°
Site moments in Bohr magnetons follow the coordinates.
Positions (direct):
Mn (0.2033, 0.7033, 0.5000)  2.59
P (0.0814, 0.0814, 0.0000)  -0.09
P (0.7654, 0.2654, 0.5000)  -0.12
Sr (0.4499, 0.4499, 0.0000)  0.01

Output
symmetry = Imm2, No. 44


three:
Below is crystalline SrMnP2 at its relaxed geometry, with properties calculated at the PBE-GGA level.

Cell: 4.9660 4.9660 7.8729 Å, 71.62 71.62 90.00°
Site moments in Bohr magnetons follow the coordinates.
Positions (direct):
Sr (0.0000, 0.0000, 0.0000)  0.01
Sr (0.7500, 0.2500, 0.5000)  0.01
Mn (0.5000, 0.5000, 0.0000)  0.98
Mn (0.2500, 0.7500, 0.5000)  0.98
P (0.3750, 0.1250, 0.2500)  -0.01
P (0.3750, 0.6250, 0.2500)  -0.01
P (0.3750, 0.6250, 0.7500)  -0.03
P (0.8750, 0.6250, 0.7500)  -0.03

Output
symmetry = I4_1/amd, No. 141


four:
Below is crystalline SrMnP2 at its relaxed geometry, with properties calculated at the PBE-GGA level.

Cell: 4.1862 3.8093 6.0706 Å, 71.71 90.00 90.00°
Site moments in Bohr magnetons follow the coordinates.
Positions (direct):
Mn (0.5000, 0.8190, 0.9870)  2.37
P (0.0000, 0.8807, 0.8638)  -0.11
P (0.5000, 0.2092, 0.2064)  -0.06
Sr (0.0000, 0.5911, 0.4429)  0.02

Output
symmetry = Amm2, No. 38


Short version: one is the least stable of them.


one:
Below is crystalline SrMnP2 at its relaxed geometry, with properties calculated at the PBE-GGA level.

Cell: 3.7895 4.6483 4.6483 Å, 90.00 90.00 90.00°
Site moments in Bohr magnetons follow the coordinates.
Positions (direct):
Mn (0.5000, 0.0000, 0.5000)  4.14
P (0.0000, 0.0000, 0.0000)  -0.04
P (0.0000, 0.5000, 0.5000)  -0.04
Sr (0.5000, 0.5000, 0.0000)  0.03

Output
symmetry = P4/mmm, No. 123


two:
Below is crystalline SrMnP2 at its relaxed geometry, with properties calculated at the PBE-GGA level.

Cell: 4.8202 4.8202 4.8202 Å, 60.00 60.00 60.00°
Site moments in Bohr magnetons follow the coordinates.
Positions (direct):
Mn (0.5000, 0.5000, 0.5000)  3.86
P (0.0000, 0.0000, 0.0000)  -0.09
P (0.7500, 0.7500, 0.7500)  -0.11
Sr (0.2500, 0.2500, 0.2500)  0.02

Output
symmetry = F-43m, No. 216


three:
Below is crystalline SrMnP2 at its relaxed geometry, with properties calculated at the PBE-GGA level.

Cell: 5.7619 5.7619 5.7619 Å, 138.93 138.93 59.49°
Site moments in Bohr magnetons follow the coordinates.
Positions (direct):
Mn (0.7500, 0.2500, 0.5000)  4.05
P (0.0000, 0.0000, 0.0000)  -0.06
P (0.2500, 0.7500, 0.5000)  -0.06
Sr (0.5000, 0.5000, 0.0000)  0.01

Output
symmetry = I-4m2, No. 119


Short version: two is the least stable of them.


one:
Below is crystalline SrMnP2 at its relaxed geometry, with properties calculated at the PBE-GGA level.

Cell: 3.8210 4.5568 5.0333 Å, 90.00 90.00 90.00°
Site moments in Bohr magnetons follow the coordinates.
Positions (direct):
Sr (0.5000, 0.0000, 0.0000)  0.00
Mn (0.5000, 0.5000, 0.5000)  2.81
P (0.0000, 0.5000, 0.7705)  -0.06
P (0.0000, 0.5000, 0.2295)  -0.06

Output
symmetry = Pmmm, No. 47


two:
Below is crystalline SrMnP2 at its relaxed geometry, with properties calculated at the PBE-GGA level.

Cell: 3.6577 3.6577 6.5967 Å, 90.00 90.00 109.32°
Site moments in Bohr magnetons follow the coordinates.
Positions (direct):
Mn (0.5000, 0.5000, 0.7500)  3.52
P (0.0000, 0.0000, 0.9323)  -0.03
P (0.0000, 0.0000, 0.5677)  -0.03
Sr (0.5000, 0.5000, 0.2500)  0.00

Output
symmetry = Cmmm, No. 65


Short version: two is the least stable of them.


one:
Below is crystalline SrMnP2 at its relaxed geometry, with properties calculated at the PBE-GGA level.

Cell: 3.1240 3.1240 6.8416 Å, 90.00 90.00 90.00°
Site moments in Bohr magnetons follow the coordinates.
Positions (direct):
Mn (0.5000, 0.5000, 0.7500)  1.42
P (0.0000, 0.0000, 0.9270)  -0.06
P (0.0000, 0.0000, 0.5730)  -0.06
Sr (0.5000, 0.5000, 0.2500)  -0.03

Output
symmetry = P4/mmm, No. 123


two:
Below is crystalline SrMnP2 at its relaxed geometry, with properties calculated at the PBE-GGA level.

Cell: 5.0622 5.0622 5.0622 Å, 132.25 105.74 93.23°
Site moments in Bohr magnetons follow the coordinates.
Positions (direct):
Mn (0.2500, 0.7500, 0.5000)  3.27
P (0.0809, 0.0809, 0.0000)  -0.06
P (0.4191, 0.4191, 0.0000)  -0.06
Sr (0.7500, 0.2500, 0.5000)  -0.02

Output
symmetry = Immm, No. 71


Short version: one is the least stable of them.


one:
Below is crystalline SrMn3P at its relaxed geometry, with properties calculated at the PBE-GGA level.

Cell: 4.6094 4.6094 4.6094 Å, 90.00 90.00 90.00°
Site moments in Bohr magnetons follow the coordinates.
Positions (direct):
Sr (0.5000, 0.5000, 0.5000)  -0.09
Mn (0.0000, 0.5000, 0.0000)  3.41
Mn (0.0000, 0.0000, 0.5000)  3.23
Mn (0.5000, 0.0000, 0.0000)  3.35
P (0.0000, 0.0000, 0.0000)  -0.09

Output
symmetry = Pm-3m, No. 221


two:
Below is crystalline SrMn3P at its relaxed geometry, with properties calculated at the PBE-GGA level.

Cell: 4.9808 4.9808 4.9808 Å, 90.00 90.00 90.00°
Site moments in Bohr magnetons follow the coordinates.
Positions (direct):
Sr (0.0000, 0.0000, 0.0000)  -0.19
Mn (0.0000, 0.5000, 0.0000)  3.67
Mn (0.0000, 0.0000, 0.5000)  3.25
Mn (0.5000, 0.0000, 0.0000)  4.06
P (0.5000, 0.5000, 0.5000)  -0.01

Output
symmetry = Pm-3m, No. 221


Short version: two is the least stable of them.


one:
Below is crystalline TaMnP3 at its relaxed geometry, with properties calculated at the PBE-GGA level.

Cell: 4.7699 4.7699 4.7699 Å, 90.00 90.00 90.00°
Site moments in Bohr magnetons follow the coordinates.
Positions (direct):
P (0.0000, 0.5000, 0.0000)  0.02
P (0.0000, 0.0000, 0.5000)  0.02
P (0.5000, 0.0000, 0.0000)  0.01
Mn (0.5000, 0.5000, 0.5000)  -0.54
Ta (0.0000, 0.0000, 0.0000)  0.04

Output
symmetry = Pm-3m, No. 221


two:
Below is crystalline TaMnP3 at its relaxed geometry, with properties calculated at the PBE-GGA level.

Cell: 4.3801 4.3801 4.3801 Å, 90.00 90.00 90.00°
Site moments in Bohr magnetons follow the coordinates.
Positions (direct):
P (0.0000, 0.5000, 0.0000)  -0.04
P (0.0000, 0.0000, 0.5000)  -0.04
P (0.5000, 0.0000, 0.0000)  -0.04
Mn (0.0000, 0.0000, 0.0000)  2.08
Ta (0.5000, 0.5000, 0.5000)  1.19

Output
symmetry = Pm-3m, No. 221


Short version: one is the least stable of them.


one:
Below is crystalline MnTcP2 at its relaxed geometry, with properties calculated at the PBE-GGA level.

Cell: 3.5506 3.5506 5.2826 Å, 70.36 70.36 60.00°
Positions (direct):
Mn (0.6787, 0.6787, 0.9639)
Tc (0.4971, 0.4971, 0.5087)
P (0.0718, 0.0718, 0.7845)
P (0.2524, 0.2524, 0.2429)

Output
symmetry = R3m, No. 160


two:
Below is crystalline MnTcP2 at its relaxed geometry, with properties calculated at the PBE-GGA level.

Cell: 2.8123 2.8123 7.3095 Å, 90.00 90.00 90.00°
Positions (direct):
Mn (0.5000, 0.5000, 0.7529)
P (0.0000, 0.0000, 0.9197)
P (0.5000, 0.5000, 0.3110)
Tc (0.0000, 0.0000, 0.5164)

Output
symmetry = P4mm, No. 99


Short version: two is the least stable of them.


one:
Below is crystalline MnTc2P at its relaxed geometry, with properties calculated at the PBE-GGA level.

Cell: 4.9326 4.9326 4.9326 Å, 146.54 129.48 61.96°
Positions (direct):
P (0.2598, 0.7598, 0.5000)
Mn (0.4692, 0.4692, 0.0000)
Tc (0.0267, 0.0267, 0.0000)
Tc (0.7443, 0.2443, 0.5000)

Output
symmetry = Imm2, No. 44


two:
Below is crystalline MnTc2P at its relaxed geometry, with properties calculated at the PBE-GGA level.

Cell: 2.9633 4.0440 4.3441 Å, 90.00 90.00 90.00°
Positions (direct):
Mn (0.5000, 0.5000, 0.0000)
Tc (0.0000, 0.0000, 0.0000)
Tc (0.5000, 0.0000, 0.5000)
P (0.0000, 0.5000, 0.5000)

Output
symmetry = Pmmm, No. 47


Short version: two is the least stable of them.